Hf10MnSb5: optimized geometry, PBE-GGA.

Calculated values
Uncorrected formation energy   -0.446 eV per atom
Size of the total moment   1.6 μB/cell

Lattice parameters (Å, degrees): 8.280 8.280 8.280 96.46 96.46 140.79
Site moments in Bohr magnetons follow the coordinates.
Atoms (fractional coordinates):
Hf 0.837 0.546 0.860  -0.05
Hf 0.686 0.976 0.140  -0.05
Hf 0.314 0.454 0.291  -0.05
Hf 0.163 0.024 0.709  -0.05
Hf 0.546 0.686 0.709  -0.05
Hf 0.976 0.837 0.291  -0.05
Hf 0.454 0.163 0.140  -0.05
Hf 0.024 0.314 0.860  -0.05
Hf 0.000 0.500 0.500  0.04
Hf 0.500 0.000 0.500  0.04
Mn 0.000 0.000 0.000  1.95
Sb 0.414 0.914 0.828  0.00
Sb 0.086 0.586 0.172  0.00
Sb 0.914 0.086 0.500  0.00
Sb 0.586 0.414 0.500  0.00
Sb 0.500 0.500 0.000  -0.01